[1]
Material: Ce3Pm2Pb3
Method: DFT, PBE-GGA
State: relaxed

Computed properties:
**SG**: No. 71
**ρ**: 9106 kg/m³
**Energy relative to the elements**: -312 meV/atom

Cell lengths 4.558, 4.982, 11.216 Å; angles 102.83, 101.72, 90.00 degrees
Site moments in Bohr magnetons follow the coordinates.
Element x y z (fractional)
Pm1 0.745 0.245 0.490  -0.03
Ce1 0.615 0.615 0.230  0.80
Pb1 0.000 0.500 0.000  -0.01
Ce2 0.500 0.000 0.000  0.99
Pb2 0.133 0.133 0.265  -0.02
Pb3 0.867 0.867 0.735  -0.02
Pm2 0.255 0.755 0.510  -0.03
Ce3 0.385 0.385 0.770  0.80

=====

[2]
Material: BeCoIr
Method: DFT, PBE-GGA
State: relaxed

Computed properties:
**Offset from the most stable computed form**: 117 meV/atom
**SG**: No. 187
**ρ**: 12687 kg/m³
**Energy relative to the elements**: -132 meV/atom

Cell lengths 3.860, 3.860, 2.639 Å; angles 90.00, 90.00, 120.00 degrees
Site moments in Bohr magnetons follow the coordinates.
Element x y z (fractional)
Ir1 0.333 0.667 0.667  0.59
Be1 0.000 0.000 0.167  -0.03
Co1 0.667 0.333 0.167  1.50